# Pm7Pr2Cd2 GGA-PBE optimized geometry
# DFT formation energy   0.03 eV per atom
data_Pm7Pr2Cd2
_chemical_formula_sum 'Pm14 Pr4 Cd4'
_space_group_name_H-M_alt 'C 1 2/m 1'
_space_group_IT_number 12
_space_group_name_Hall '-C 2y'
_cell_length_a 9.201
_cell_length_b 9.881
_cell_length_c 8.294
_cell_angle_alpha 90.00
_cell_angle_beta 103.59
_cell_angle_gamma 90.00
loop_
_atom_site_label
_atom_site_type_symbol
_atom_site_fract_x
_atom_site_fract_y
_atom_site_fract_z
_atom_site_occupancy
Pm1 Pm 0.000 0.000 0.000 1
Pm2 Pm 0.180 0.296 0.171 1
Pm3 Pm 0.192 0.500 0.534 1
Pr1 Pr 0.000 0.181 0.500 1
Cd1 Cd 0.105 0.500 0.863 1